A plane-wave DFT calculation with PBE with a Hubbard U was carried out for a relaxed Mn6RuO12 crystal.

Computed properties:
Total energy, Ry/atom: -0.539

abc: 5.984 5.984 5.984
angles: 100.22 100.22 100.22
Each line ends with the local moment (μB).
Fractional coordinates of all 19 atoms:
Mn (0.603, 0.138, 0.317)  3.98
O (0.043, 0.891, 0.690)  -0.11
Mn (0.397, 0.862, 0.683)  3.98
Ru (0.000, 0.000, 0.000)  -0.86
O (0.690, 0.043, 0.891)  -0.11
O (0.601, 0.406, 0.175)  -0.14
Mn (0.317, 0.603, 0.138)  3.98
O (0.175, 0.601, 0.406)  -0.14
Mn (0.862, 0.683, 0.397)  3.98
O (0.310, 0.957, 0.109)  -0.11
O (0.891, 0.690, 0.043)  -0.11
O (0.825, 0.399, 0.594)  -0.14
Mn (0.138, 0.317, 0.603)  3.98
Mn (0.683, 0.397, 0.862)  3.98
O (0.957, 0.109, 0.310)  -0.11
O (0.109, 0.310, 0.957)  -0.11
O (0.406, 0.175, 0.601)  -0.14
O (0.399, 0.594, 0.825)  -0.14
O (0.594, 0.825, 0.399)  -0.14